{"formula": "SrTaPbO6", "functional": "PBE", "state": "relaxed", "sg": "P-31c, No. 163", "dft_energy_ry_per_atom": -0.52796, "formation_energy_uncorrected_ev_per_atom": -1.962, "n_ef_per_ev_atom": 0.8186, "mass_density_g_cm3": 6.561, "lattice": [[5.614, 0.000, 0.000], [-2.807, 4.862, 0.000], [0.000, 0.000, 10.605]], "species": ["Sr", "Sr", "Ta", "Ta", "Pb", "Pb", "O", "O", "O", "O", "O", "O", "O", "O", "O", "O", "O", "O"], "frac_coords": [[0.000, 0.000, 0.000], [0.000, 0.000, 0.500], [0.667, 0.333, 0.250], [0.333, 0.667, 0.750], [0.333, 0.667, 0.250], [0.667, 0.333, 0.750], [0.639, 0.614, 0.143], [0.975, 0.361, 0.143], [0.361, 0.975, 0.643], [0.025, 0.639, 0.857], [0.386, 0.361, 0.357], [0.975, 0.614, 0.357], [0.614, 0.975, 0.857], [0.639, 0.025, 0.357], [0.025, 0.386, 0.643], [0.386, 0.025, 0.143], [0.614, 0.639, 0.643], [0.361, 0.386, 0.857]]}

{"formula": "Sr2Tb4Pb3O2", "functional": "PBE", "state": "relaxed", "sg": "I4/mmm, No. 139", "dft_energy_ry_per_atom": -0.39149, "formation_energy_uncorrected_ev_per_atom": -1.424, "n_ef_per_ev_atom": 0.2095, "mass_density_g_cm3": 8.060, "lattice": [[-0.750, -0.488, -4.716], [-2.165, -4.213, 0.780], [-10.047, 8.485, 3.164]], "species": ["Sr", "Sr", "Tb", "Tb", "Tb", "Tb", "Pb", "Pb", "Pb", "O", "O"], "frac_coords": [[0.304, 0.304, 0.608], [0.696, 0.696, 0.392], [0.417, 0.917, 0.834], [0.917, 0.417, 0.834], [0.083, 0.583, 0.166], [0.583, 0.083, 0.166], [0.000, 0.000, 0.000], [0.169, 0.169, 0.337], [0.831, 0.831, 0.663], [0.409, 0.409, 0.818], [0.591, 0.591, 0.182]]}

{"formula": "SrTc2PbO8", "functional": "PBE", "state": "relaxed", "sg": "I-4, No. 82", "dft_energy_ry_per_atom": -0.52680, "formation_energy_uncorrected_ev_per_atom": -1.685, "n_ef_per_ev_atom": 0.4221, "mass_density_g_cm3": 5.558, "lattice": [[-0.153, 3.919, -3.833], [-4.804, -1.943, -1.795], [-0.482, 2.720, 6.723]], "species": ["Sr", "Tc", "Tc", "Pb", "O", "O", "O", "O", "O", "O", "O", "O"], "frac_coords": [[0.000, 0.000, 0.000], [0.500, 0.500, 0.000], [0.250, 0.750, 0.500], [0.750, 0.250, 0.500], [0.715, 0.819, 0.152], [0.437, 0.333, 0.152], [0.570, 0.694, 0.656], [0.086, 0.962, 0.656], [0.038, 0.430, 0.344], [0.306, 0.914, 0.344], [0.181, 0.563, 0.848], [0.667, 0.285, 0.848]]}

{"formula": "SrTcPbO6", "functional": "PBE", "state": "relaxed", "sg": "P312, No. 149", "dft_energy_ry_per_atom": -0.47652, "formation_energy_uncorrected_ev_per_atom": -1.427, "n_ef_per_ev_atom": 0.3089, "mass_density_g_cm3": 5.990, "lattice": [[5.745, 0.001, 0.000], [2.873, 4.975, 0.000], [0.000, 0.001, 4.741]], "species": ["Sr", "Tc", "Pb", "O", "O", "O", "O", "O", "O"], "frac_coords": [[0.667, 0.667, 0.500], [0.333, 0.333, 0.500], [0.000, 0.000, 0.000], [0.068, 0.319, 0.270], [0.319, 0.068, 0.730], [0.613, 0.319, 0.730], [0.068, 0.613, 0.730], [0.319, 0.613, 0.270], [0.613, 0.068, 0.270]]}

{"formula": "Sr2TcPbO6", "functional": "PBE", "state": "relaxed", "sg": "R3, No. 146", "dft_energy_ry_per_atom": -0.48933, "formation_energy_uncorrected_ev_per_atom": -1.939, "n_ef_per_ev_atom": 0.4955, "mass_density_g_cm3": 5.926, "lattice": [[-1.870, 3.988, -4.060], [-3.837, -1.666, -4.288], [-5.895, 2.039, 0.298]], "species": ["Sr", "Sr", "Tc", "Pb", "O", "O", "O", "O", "O", "O"], "frac_coords": [[0.533, 0.533, 0.402], [0.028, 0.028, 0.916], [0.318, 0.318, 0.047], [0.797, 0.797, 0.610], [0.549, 0.220, 0.223], [0.220, 0.008, 0.223], [0.008, 0.549, 0.223], [0.436, 0.648, 0.790], [0.648, 0.126, 0.790], [0.126, 0.436, 0.790]]}

{"formula": "SrTePb2O6", "functional": "PBE", "state": "relaxed", "sg": "P2_1/c, No. 14", "dft_energy_ry_per_atom": -0.42162, "formation_energy_uncorrected_ev_per_atom": -1.538, "n_ef_per_ev_atom": 0.0000, "mass_density_g_cm3": 7.475, "lattice": [[-3.064, -2.629, 4.073], [5.305, -3.229, 1.906], [1.882, 6.368, 5.550]], "species": ["Sr", "Sr", "Te", "Te", "Pb", "Pb", "Pb", "Pb", "O", "O", "O", "O", "O", "O", "O", "O", "O", "O", "O", "O"], "frac_coords": [[0.500, 0.000, 0.000], [0.000, 0.500, 0.500], [0.500, 0.000, 0.500], [0.000, 0.500, 0.000], [0.008, 0.943, 0.278], [0.508, 0.557, 0.778], [0.992, 0.057, 0.722], [0.492, 0.443, 0.222], [0.289, 0.665, 0.011], [0.789, 0.835, 0.511], [0.711, 0.335, 0.989], [0.211, 0.165, 0.489], [0.314, 0.762, 0.438], [0.814, 0.738, 0.938], [0.686, 0.238, 0.562], [0.186, 0.262, 0.062], [0.931, 0.561, 0.218], [0.431, 0.939, 0.718], [0.069, 0.439, 0.782], [0.569, 0.061, 0.282]]}

{"formula": "Sr2TePbO6", "functional": "PBE", "state": "relaxed", "sg": "R-3, No. 148", "dft_energy_ry_per_atom": -0.43426, "formation_energy_uncorrected_ev_per_atom": -1.912, "n_ef_per_ev_atom": 0.0000, "mass_density_g_cm3": 6.355, "lattice": [[-5.970, -0.364, -1.521], [-4.076, -2.304, 4.020], [-4.076, 3.508, 2.621]], "species": ["Sr", "Sr", "Te", "Pb", "O", "O", "O", "O", "O", "O"], "frac_coords": [[0.552, 0.552, 0.343], [0.080, 0.080, 0.760], [0.316, 0.316, 0.052], [0.816, 0.816, 0.552], [0.513, 0.196, 0.291], [0.196, 0.000, 0.292], [0.000, 0.513, 0.291], [0.437, 0.632, 0.811], [0.632, 0.119, 0.812], [0.119, 0.436, 0.812]]}

{"formula": "SrThPb2O8", "functional": "PBE", "state": "relaxed", "sg": "I-4, No. 82", "dft_energy_ry_per_atom": -0.46779, "formation_energy_uncorrected_ev_per_atom": -1.683, "n_ef_per_ev_atom": 0.4117, "mass_density_g_cm3": 7.787, "lattice": [[5.744, 0.000, 0.000], [0.000, 5.744, 0.000], [-2.872, -2.872, 5.572]], "species": ["Sr", "Th", "Pb", "Pb", "O", "O", "O", "O", "O", "O", "O", "O"], "frac_coords": [[0.750, 0.250, 0.500], [0.000, 0.000, 0.000], [0.500, 0.500, 0.000], [0.250, 0.750, 0.500], [0.802, 0.837, 0.179], [0.377, 0.342, 0.179], [0.605, 0.663, 0.700], [0.095, 0.036, 0.700], [0.964, 0.395, 0.300], [0.337, 0.905, 0.300], [0.163, 0.623, 0.821], [0.658, 0.198, 0.821]]}

{"formula": "SrTiPbO4", "functional": "PBE", "state": "relaxed", "sg": "I4mm, No. 107", "dft_energy_ry_per_atom": -0.52946, "formation_energy_uncorrected_ev_per_atom": -2.473, "n_ef_per_ev_atom": 0.0000, "mass_density_g_cm3": 6.810, "lattice": [[-2.735, -2.102, -1.889], [1.047, -3.195, 2.039], [-3.436, 4.141, 4.460]], "species": ["Sr", "Ti", "Pb", "O", "O", "O", "O"], "frac_coords": [[0.356, 0.356, 0.712], [0.001, 0.001, 0.002], [0.653, 0.653, 0.306], [0.996, 0.496, 0.992], [0.496, 0.996, 0.992], [0.842, 0.842, 0.683], [0.157, 0.157, 0.313]]}

{"formula": "Sr2TiPbO6", "functional": "PBE", "state": "relaxed", "sg": "P2_1/c, No. 14", "dft_energy_ry_per_atom": -0.50508, "formation_energy_uncorrected_ev_per_atom": -2.400, "mass_density_g_cm3": 6.371, "lattice": [[5.772, 0.000, -0.028], [0.000, 5.812, 0.000], [0.010, 0.000, 8.178]], "species": ["Sr", "Sr", "Sr", "Sr", "Ti", "Ti", "Pb", "Pb", "O", "O", "O", "O", "O", "O", "O", "O", "O", "O", "O", "O"], "frac_coords": [[0.007, 0.966, 0.250], [0.507, 0.534, 0.750], [0.993, 0.034, 0.750], [0.493, 0.466, 0.250], [0.500, 0.000, 0.500], [0.000, 0.500, 0.000], [0.500, 0.000, 0.000], [0.000, 0.500, 0.500], [0.273, 0.702, 0.037], [0.773, 0.798, 0.537], [0.727, 0.298, 0.963], [0.227, 0.202, 0.463], [0.300, 0.726, 0.460], [0.800, 0.774, 0.960], [0.700, 0.274, 0.540], [0.200, 0.226, 0.040], [0.927, 0.518, 0.237], [0.427, 0.982, 0.737], [0.073, 0.482, 0.763], [0.573, 0.018, 0.263]]}

Repeat the seventh record exactly.
{"formula": "Sr2TePbO6", "functional": "PBE", "state": "relaxed", "sg": "R-3, No. 148", "dft_energy_ry_per_atom": -0.43426, "formation_energy_uncorrected_ev_per_atom": -1.912, "n_ef_per_ev_atom": 0.0000, "mass_density_g_cm3": 6.355, "lattice": [[-5.970, -0.364, -1.521], [-4.076, -2.304, 4.020], [-4.076, 3.508, 2.621]], "species": ["Sr", "Sr", "Te", "Pb", "O", "O", "O", "O", "O", "O"], "frac_coords": [[0.552, 0.552, 0.343], [0.080, 0.080, 0.760], [0.316, 0.316, 0.052], [0.816, 0.816, 0.552], [0.513, 0.196, 0.291], [0.196, 0.000, 0.292], [0.000, 0.513, 0.291], [0.437, 0.632, 0.811], [0.632, 0.119, 0.812], [0.119, 0.436, 0.812]]}

Q: Which formula does entry 1 have?
A: SrTaPbO6